Entry 1:
DFT (PBE-GGA) results for crystalline TbPm2Y2Ho2 at its relaxed geometry.

Structure (POSCAR):
```
TbPm2Y2Ho2
1.0
-4.8187 -0.2018 -3.0542
-3.8200 -4.1310 0.9648
-6.5804 3.2689 4.8312
Y Pm Ho Tb
2 2 2 1
direct
0.2829 0.2829 0.1514
0.7171 0.7171 0.8486
0.1387 0.1387 0.5838
0.8613 0.8613 0.4162
0.4253 0.4253 0.7242
0.5747 0.5747 0.2758
0.0000 0.0000 0.0000
```

## Properties
The calculation puts the density of states at the Fermi level at 18.635 states/eV/f.u.

***

Entry 2:
DFT (PBE-GGA) results for crystalline TbPmYHo2 at its relaxed geometry.

Structure (POSCAR):
```
TbPmYHo2
1.0
7.1748 0.0000 0.0000
0.0000 8.3581 0.0000
0.0000 -4.1791 5.7392
Ho Y Tb Pm
4 2 2 2
direct
0.5000 0.6879 0.0000
0.0000 0.3121 0.0000
0.5000 0.3121 0.0000
0.0000 0.6879 0.0000
0.2500 0.2697 0.5395
0.7500 0.7303 0.4605
0.2500 0.7172 0.4343
0.7500 0.2828 0.5657
0.2500 0.9857 0.9714
0.7500 0.0143 0.0286
```

## Properties
The calculation puts the density of states at the Fermi level at 8.891 states/eV/f.u.

***

Entry 3:
DFT (PBE-GGA) results for crystalline Tb6Pm3YHo2 at its relaxed geometry.

Structure (POSCAR):
```
Tb6Pm3YHo2
1.0
6.2000 0.0003 0.0079
-3.0982 5.3704 0.0079
-1.0450 -1.8094 11.6721
Y Tb Pm Ho
1 6 3 2
direct
0.0000 0.0000 0.0000
0.4171 0.0829 0.2470
0.5829 0.9171 0.7530
0.9171 0.5829 0.7530
0.7488 0.7488 0.2470
0.0829 0.4171 0.2470
0.2512 0.2512 0.7530
0.8333 0.1667 0.5000
0.1667 0.8333 0.5000
0.5000 0.5000 0.5000
0.6666 0.3334 0.0000
0.3334 0.6666 0.0000
```

## Properties
The calculation puts the density of states at the Fermi level at 15.907 states/eV/f.u.

***

Entry 4:
DFT (PBE-GGA) results for crystalline TbPm6Y2Ho at its relaxed geometry.

Structure (POSCAR):
```
TbPm6Y2Ho
1.0
0.8671 8.4962 4.3521
-3.1268 3.5899 -7.5711
-5.9952 -3.0221 5.9085
Tb Y Ho Pm
2 4 2 12
direct
0.2500 0.9705 0.0295
0.7500 0.0295 0.9705
0.5470 0.2016 0.2991
0.9530 0.7009 0.7984
0.0470 0.2991 0.2016
0.4530 0.7984 0.7009
0.7500 0.5892 0.4108
0.2500 0.4108 0.5892
0.6175 0.4862 0.7082
0.8825 0.2918 0.5138
0.1175 0.7082 0.4862
0.0559 0.1176 0.7613
0.6872 0.0106 0.5639
0.3128 0.9894 0.4361
0.3825 0.5138 0.2918
0.8128 0.4361 0.9894
0.4441 0.2387 0.8824
0.9441 0.8824 0.2387
0.1872 0.5639 0.0106
0.5559 0.7613 0.1176
```

## Properties
The calculation puts the density of states at the Fermi level at 14.565 states/eV/f.u.

***

Entry 5:
DFT (PBE-GGA) results for crystalline Tb6Pm3Y2Ho at its relaxed geometry.

Structure (POSCAR):
```
Tb6Pm3Y2Ho
1.0
6.2066 0.0003 0.0097
-3.1015 5.3761 0.0097
-1.0488 -1.8159 11.6837
Y Pm Tb Ho
2 3 6 1
direct
0.6667 0.3333 0.0000
0.3333 0.6667 0.0000
0.5000 0.5000 0.5000
0.8333 0.1667 0.5000
0.1667 0.8333 0.5000
0.2497 0.2497 0.7524
0.9171 0.5846 0.7525
0.5846 0.9171 0.7525
0.7503 0.7503 0.2476
0.4154 0.0829 0.2475
0.0829 0.4154 0.2475
0.0000 0.0000 0.0000
```

## Properties
The calculation puts the density of states at the Fermi level at 16.141 states/eV/f.u.

***

Entry 6:
DFT (PBE-GGA) results for crystalline TbPm2Y2Ho at its relaxed geometry.

Structure (POSCAR):
```
TbPm2Y2Ho
1.0
3.3962 0.0000 0.0000
0.0000 6.6429 0.0000
0.0000 0.0000 17.7171
Pm Ho Y Tb
4 2 4 2
direct
0.0000 0.7355 0.1487
0.0000 0.2645 0.8513
0.5000 0.7645 0.6487
0.5000 0.2355 0.3513
0.5000 0.5000 0.5000
0.0000 0.0000 0.0000
0.0000 0.7613 0.8201
0.0000 0.2387 0.1799
0.5000 0.2613 0.6799
0.5000 0.7387 0.3201
0.5000 0.5000 0.0000
0.0000 0.0000 0.5000
```

## Properties
The calculation puts the density of states at the Fermi level at 8.773 states/eV/f.u.

***

Entry 7:
DFT (PBE-GGA) results for crystalline TbPm5Y2Ho at its relaxed geometry.

Structure (POSCAR):
```
TbPm5Y2Ho
1.0
5.6779 0.0000 0.0000
-2.8390 10.1459 0.0000
0.0000 0.0000 10.6580
Y Pm Ho Tb
4 10 2 2
direct
0.1120 0.2241 0.7357
0.8845 0.7689 0.8162
0.8880 0.7759 0.2357
0.1155 0.2311 0.3162
0.7188 0.4376 0.8116
0.7023 0.4047 0.2057
0.2812 0.5624 0.3116
0.6112 0.2224 0.5225
0.5191 0.0381 0.2425
0.2977 0.5953 0.7057
0.3888 0.7776 0.0225
0.0181 0.0362 0.0198
0.4809 0.9619 0.7425
0.9819 0.9638 0.5198
0.7998 0.5997 0.5104
0.2002 0.4003 0.0104
0.5897 0.1795 0.9595
0.4103 0.8205 0.4595
```

## Properties
The calculation puts the density of states at the Fermi level at 14.692 states/eV/f.u.

***

Entry 8:
DFT (PBE-GGA) results for crystalline TbPm2Y5Ho at its relaxed geometry.

Structure (POSCAR):
```
TbPm2Y5Ho
1.0
8.6796 0.0000 0.0000
0.0000 8.6796 0.0000
-4.3398 -4.3398 7.8118
Y Pm Ho Tb
10 4 2 2
direct
0.5000 0.5000 0.0000
0.1515 0.0714 0.7229
0.6515 0.1515 0.7229
0.3485 0.8485 0.2771
0.5714 0.6515 0.7229
0.8485 0.9286 0.2771
0.4286 0.3485 0.2771
0.9286 0.4286 0.2771
0.0714 0.5714 0.7229
0.0000 0.0000 0.0000
0.3831 0.8831 0.0000
0.1169 0.3831 0.0000
0.6169 0.1169 0.0000
0.8831 0.6169 0.0000
0.7500 0.2500 0.5000
0.2500 0.7500 0.5000
0.7500 0.7500 0.5000
0.2500 0.2500 0.5000
```

## Properties
The calculation puts the density of states at the Fermi level at 11.641 states/eV/f.u.

***

Entry 9:
DFT (PBE-GGA) results for crystalline Tb2PmYHo2 at its relaxed geometry.

Structure (POSCAR):
```
Tb2PmYHo2
1.0
3.3960 0.0000 0.0000
0.0000 6.6033 0.0000
0.0000 0.0000 17.6355
Y Pm Ho Tb
2 2 4 4
direct
0.5000 0.5000 0.0000
0.0000 0.0000 0.5000
0.0000 0.0000 0.0000
0.5000 0.5000 0.5000
0.5000 0.2677 0.6815
0.0000 0.2323 0.1815
0.0000 0.7677 0.8185
0.5000 0.7323 0.3185
0.0000 0.7293 0.1505
0.5000 0.2293 0.3495
0.0000 0.2707 0.8495
0.5000 0.7707 0.6505
```

## Properties
The calculation puts the density of states at the Fermi level at 9.660 states/eV/f.u.

***

Entry 10:
DFT (PBE-GGA) results for crystalline Tb2Pm3YHo6 at its relaxed geometry.

Structure (POSCAR):
```
Tb2Pm3YHo6
1.0
-1.1415 -0.6853 6.0369
2.7899 -4.5297 -3.1489
9.8007 6.3772 1.5256
Pm Y Ho Tb
3 1 6 2
direct
0.5000 0.5000 0.5000
0.8334 0.1666 0.5000
0.1666 0.8334 0.5000
0.0000 0.0000 0.0000
0.5831 0.9171 0.7522
0.9171 0.5831 0.7522
0.2510 0.2510 0.7521
0.7490 0.7490 0.2479
0.4169 0.0829 0.2478
0.0829 0.4169 0.2478
0.3334 0.6666 0.0000
0.6666 0.3334 0.0000
```

## Properties
The calculation puts the density of states at the Fermi level at 15.455 states/eV/f.u.

***

Entry 11:
DFT (PBE-GGA) results for crystalline Tb3Pm6YHo2 at its relaxed geometry.

Structure (POSCAR):
```
Tb3Pm6YHo2
1.0
6.2499 -0.0003 0.0094
-3.1236 5.4133 0.0094
-1.0562 -1.8288 11.6785
Ho Pm Y Tb
2 6 1 3
direct
0.6666 0.3334 0.0000
0.3334 0.6666 0.0000
0.7495 0.7495 0.2495
0.5820 0.9163 0.7506
0.9163 0.5820 0.7506
0.2505 0.2505 0.7505
0.4180 0.0837 0.2494
0.0837 0.4180 0.2494
0.0000 0.0000 0.0000
0.8333 0.1667 0.5000
0.1667 0.8333 0.5000
0.5000 0.5000 0.5000
```

## Properties
The calculation puts the density of states at the Fermi level at 14.346 states/eV/f.u.

***

Entry 12:
DFT (PBE-GGA) results for crystalline TbPmHoZn at its relaxed geometry.

Structure (POSCAR):
```
TbPmHoZn
1.0
5.3740 0.0000 0.0000
2.6870 4.6540 0.0000
2.6870 1.5513 4.3878
Zn Pm Tb Ho
1 1 1 1
direct
0.5000 0.5000 0.5000
0.2500 0.2500 0.2500
0.7500 0.7500 0.7500
0.0000 0.0000 0.0000
```

## Properties
The calculation puts the relative energy among the computed polymorphs at 0.200 eV per atom. The calculation puts the density of states at the Fermi level at 5.068 states/eV/f.u.

***

Entry 13:
DFT (PBE-GGA) results for crystalline TbPmHoZn at its relaxed geometry.

Structure (POSCAR):
```
TbPmHoZn
1.0
3.5841 0.0000 0.0000
0.0000 3.5841 0.0000
0.0000 0.0000 8.6826
Ho Pm Zn Tb
1 1 1 1
direct
0.5000 0.5000 0.3682
0.0000 0.0000 0.0732
0.0000 0.0000 0.5681
0.5000 0.5000 0.7752
```

## Properties
The calculation puts the relative energy among the computed polymorphs at 0.000 eV per atom. The calculation puts the density of states at the Fermi level at 4.753 states/eV/f.u.

***

Entry 14:
DFT (PBE-GGA) results for crystalline Tb3Pm2Ho6Zr at its relaxed geometry.

Structure (POSCAR):
```
Tb3Pm2Ho6Zr
1.0
-1.7401 -5.3891 -2.2680
5.5592 0.6272 2.4325
-5.4231 -1.4014 10.2153
Zr Pm Tb Ho
1 2 3 6
direct
0.0000 0.0000 0.0000
0.3333 0.6667 0.0000
0.6667 0.3333 0.0000
0.8337 0.1663 0.5000
0.5000 0.5000 0.5000
0.1663 0.8337 0.5000
0.5913 0.9177 0.7535
0.7561 0.7561 0.2463
0.9177 0.5913 0.7535
0.0823 0.4087 0.2465
0.2439 0.2439 0.7537
0.4087 0.0823 0.2465
```

## Properties
The calculation puts the density of states at the Fermi level at 14.809 states/eV/f.u.

***

Entry 15:
DFT (PBE-GGA) results for crystalline PmHo4Tc at its relaxed geometry.

Structure (POSCAR):
```
PmHo4Tc
1.0
3.7385 0.0000 0.0000
0.0000 8.7984 0.0000
0.0000 0.0000 20.4818
Pm Ho Tc
4 16 4
direct
0.2500 0.7737 0.3122
0.7500 0.2263 0.6878
0.2500 0.2737 0.1878
0.7500 0.7263 0.8122
0.2500 0.0388 0.7936
0.2500 0.6329 0.9566
0.7500 0.8506 0.6412
0.2500 0.1494 0.3588
0.2500 0.6494 0.1412
0.7500 0.4910 0.5662
0.7500 0.9612 0.2064
0.7500 0.9910 0.9338
0.2500 0.1329 0.5434
0.7500 0.3671 0.0434
0.7500 0.3506 0.8588
0.7500 0.8671 0.4566
0.2500 0.5388 0.7064
0.2500 0.5090 0.4338
0.7500 0.4612 0.2936
0.2500 0.0090 0.0662
0.7500 0.2611 0.4547
0.2500 0.7389 0.5453
0.2500 0.2389 0.9547
0.7500 0.7611 0.0453
```

## Properties
The calculation puts the density of states at the Fermi level at 5.284 states/eV/f.u.

***

Entry 16:
DFT (PBE-GGA) results for crystalline Pm3HoTc at its relaxed geometry.

Structure (POSCAR):
```
Pm3HoTc
1.0
-1.0807 0.8221 -5.3054
5.2302 -1.0602 -1.2297
-1.2117 -5.3095 -0.5759
Pm Ho Tc
3 1 1
direct
0.5000 0.0000 0.0000
0.0000 0.0000 0.5000
0.0000 0.5000 0.0000
0.5000 0.5000 0.5000
0.0000 0.0000 0.0000
```

## Properties
The calculation puts the relative energy among the computed polymorphs at 0.215 eV per atom. The calculation puts the density of states at the Fermi level at 7.372 states/eV/f.u.

***

Entry 17:
DFT (PBE-GGA) results for crystalline PmHoTc4 at its relaxed geometry.

Structure (POSCAR):
```
PmHoTc4
1.0
-0.4725 5.2607 -1.2803
-4.7613 2.5383 0.6516
-0.5862 3.7105 3.9275
Tc Ho Pm
4 1 1
direct
0.6251 0.6251 0.1247
0.6251 0.1247 0.6251
0.1247 0.6251 0.6251
0.6251 0.6251 0.6251
0.0000 0.0000 0.0000
0.2500 0.2500 0.2500
```

## Properties
The calculation puts the density of states at the Fermi level at 9.096 states/eV/f.u.

***

Entry 18:
DFT (PBE-GGA) results for crystalline Pm3HoTc at its relaxed geometry.

Structure (POSCAR):
```
Pm3HoTc
1.0
3.9083 0.0000 0.6422
1.8608 6.1097 0.8893
-0.0239 -0.0654 12.3591
Pm Ho Tc
6 2 2
direct
0.7783 0.0573 0.3861
0.0938 0.1891 0.6234
0.4534 0.9454 0.1478
0.7627 0.7131 0.7615
0.4267 0.6321 0.5145
0.9882 0.1202 0.9033
0.2350 0.5226 0.0074
0.1142 0.4921 0.2794
0.4241 0.3847 0.7671
0.7843 0.2803 0.1511
```

## Properties
The calculation puts the relative energy among the computed polymorphs at 0.000 eV per atom. The calculation puts the density of states at the Fermi level at 4.869 states/eV/f.u.

***

Entry 19:
DFT (PBE-GGA) results for crystalline PmHo2Tc at its relaxed geometry.

Structure (POSCAR):
```
PmHo2Tc
1.0
4.8252 0.0000 0.0000
2.4126 4.1787 0.0000
2.4126 1.3929 5.1039
Ho Tc Pm
2 1 1
direct
0.7267 0.7267 0.8200
0.2733 0.2733 0.1800
0.0000 0.0000 0.0000
0.5000 0.5000 0.5000
```

## Properties
The calculation puts the relative energy among the computed polymorphs at 0.265 eV per atom. The calculation puts the density of states at the Fermi level at 3.674 states/eV/f.u.

***

Entry 20:
DFT (PBE-GGA) results for crystalline PmHoTc at its relaxed geometry.

Structure (POSCAR):
```
PmHoTc
1.0
3.4923 0.0000 0.0000
0.0000 3.4923 0.0000
-1.7462 -1.7462 6.3543
Tc Ho Pm
1 1 1
direct
0.6698 0.6698 0.3395
0.2945 0.2945 0.5890
0.0357 0.0357 0.0714
```

## Properties
The calculation puts the relative energy among the computed polymorphs at 0.000 eV per atom. The calculation puts the density of states at the Fermi level at 4.017 states/eV/f.u.

***

Entry 21:
DFT (PBE-GGA) results for crystalline PmHo2Tc9 at its relaxed geometry.

Structure (POSCAR):
```
PmHo2Tc9
1.0
5.1546 0.0000 1.5341
2.3490 4.5882 1.5341
0.0556 0.0340 9.2399
Tc Ho Pm
9 2 1
direct
0.3389 0.3389 0.9834
0.5893 0.0728 0.7486
0.5893 0.5893 0.7486
0.4107 0.4107 0.2514
0.9272 0.4107 0.2514
0.6611 0.6611 0.0166
0.0728 0.5893 0.7486
0.4107 0.9272 0.2514
0.5000 0.5000 0.5000
0.1435 0.1435 0.5695
0.8565 0.8565 0.4305
0.0000 0.0000 0.0000
```

## Properties
The calculation puts the density of states at the Fermi level at 13.484 states/eV/f.u.

***

Entry 22:
DFT (PBE-GGA) results for crystalline PmHoTc at its relaxed geometry.

Structure (POSCAR):
```
PmHoTc
1.0
-1.4626 -0.0206 5.8820
2.5892 -2.0374 0.6367
4.0201 7.2166 -2.0980
Pm Ho Tc
2 2 2
direct
0.3864 0.8864 0.7728
0.6136 0.1136 0.2272
0.8291 0.3291 0.6581
0.1709 0.6709 0.3419
0.1932 0.5000 0.0000
0.8068 0.5000 0.0000
```

## Properties
The calculation puts the relative energy among the computed polymorphs at 0.253 eV per atom. The calculation puts the density of states at the Fermi level at 3.176 states/eV/f.u.

***

| no. | final energy (eV/atom) | density (g cm⁻³) | formation energy from the elements (eV/atom) |
| --- | --- | --- | --- |
| 1 | -5.0340 | 6.9 | 0.14 |
| 2 | -4.5965 | 7.0 | 0.40 |
| 3 | -4.7885 | 7.7 | 0.02 |
| 4 | -4.9448 | 6.7 | 0.12 |
| 5 | -4.9457 | 7.4 | 0.02 |
| 6 | -5.0194 | 6.6 | 0.25 |
| 7 | -4.9561 | 6.6 | 0.14 |
| 8 | -5.4093 | 6.0 | 0.26 |
| 9 | -4.6648 | 7.4 | 0.27 |
| 10 | -4.7698 | 7.9 | 0.02 |
| 11 | -4.8226 | 7.4 | 0.01 |
| 12 | -3.7701 | 8.1 | 0.04 |
| 13 | -3.9705 | 8.0 | -0.16 |
| 14 | -4.9016 | 8.3 | 0.05 |
| 15 | -5.5911 | 8.9 | -0.02 |
| 16 | -5.6274 | 7.1 | 0.21 |
| 17 | -8.5336 | 10.3 | -0.07 |
| 18 | -5.8420 | 7.8 | 0.00 |
| 19 | -5.8820 | 9.2 | 0.19 |
| 20 | -6.5504 | 8.7 | 0.01 |
| 21 | -8.9749 | 10.3 | -0.04 |
| 22 | -6.2969 | 8.6 | 0.27 |